## Sr2YFeO5 (GGA+U)

Data for a relaxed Sr2YFeO5 crystal.

Summary:
- E_tot: -127.8 eV/cell
- Size of the total moment: 5.0 μB/f.u.
- Space-group type: No. 36

Lattice parameters (Å, degrees): 3.4394 7.3618 10.9064 90.00 90.00 103.51
With the nearest neighbours (Å) after each atom.
Atoms (fractional coordinates):
O 0.7127 0.4255 0.1437  2 Y 2.30, 3 Sr 2.53-2.55
O 0.0526 0.1052 0.0327  2 Fe 1.96
O 0.6240 0.2480 0.5166  1 Fe 1.92
O 0.2873 0.5745 0.6437  2 Y 2.30, 3 Sr 2.53-2.55
O 0.5023 0.0046 0.2990  1 Fe 1.89
O 0.7034 0.4068 0.8676  2 Y 2.28, 1 Sr 2.53
O 0.3760 0.7520 0.0166  1 Fe 1.92
O 0.4977 0.9954 0.7990  1 Fe 1.89
O 0.9474 0.8948 0.5327  2 Fe 1.96
O 0.2966 0.5932 0.3676  2 Y 2.28, 1 Sr 2.53
Sr 0.8826 0.7652 0.2086  7 O 2.53-2.74
Sr 0.1174 0.2348 0.7086  7 O 2.53-2.74
Sr 0.1326 0.2652 0.2804  5 O 2.53-2.55
Sr 0.8674 0.7348 0.7804  5 O 2.53-2.55
Fe 0.4943 0.9886 0.4719  4 O 1.89-1.96
Fe 0.5057 0.0114 0.9719  4 O 1.89-1.96
Y 0.2173 0.4345 0.0034  6 O 2.28-2.38
Y 0.7827 0.5655 0.5034  6 O 2.28-2.38